[1]
This record from Alexandria via LeMat-Bulk describes Cr2CuOs2 after structural relaxation. The functional is PBE.

```
10
Lattice="7.1777 0.0000 0.0000 0.0000 7.1777 0.0000 0.0000 0.0000 2.6953" Properties=species:S:1:pos:R:3 pbc="T T T"
Cr 2.6045 6.1933 0.0000
Cr 6.1933 4.5731 0.0000
Cr 4.5731 0.9843 0.0000
Cr 0.9843 2.6045 0.0000
Os 1.1178 4.7067 1.3477
Os 4.7067 6.0598 1.3477
Os 6.0598 2.4710 1.3477
Os 2.4710 1.1178 1.3477
Cu 0.0000 0.0000 0.0000
Cu 3.5888 3.5888 0.0000
```

Values from the calculation:
Energy above the lowest structure with this stoichiometry   17 meV per atom
Calculated total energy   -0.32460 Ha/atom
DFT formation energy   32 kJ per mole of atoms



[2]
This record from Alexandria via LeMat-Bulk describes PmIn3Ni3 after structural relaxation. The functional is PBE.

```
14
Lattice="6.9168 0.0000 0.0000 0.0000 6.9168 0.0000 0.0000 0.0000 6.9168" Properties=species:S:1:pos:R:3 pbc="T T T"
Ni 0.0000 1.7292 3.4584
Ni 0.0000 5.1876 3.4584
Ni 3.4584 0.0000 5.1876
Ni 5.1876 3.4584 0.0000
Ni 3.4584 0.0000 1.7292
Ni 1.7292 3.4584 0.0000
In 1.7292 0.0000 3.4584
In 0.0000 3.4584 1.7292
In 3.4584 5.1876 0.0000
In 5.1876 0.0000 3.4584
In 0.0000 3.4584 5.1876
In 3.4584 1.7292 0.0000
Pm 3.4584 3.4584 3.4584
Pm 0.0000 0.0000 0.0000
```

Values from the calculation:
Calculated total energy   -0.14988 Ha/atom
DFT formation energy   24 kJ per mole of atoms



[3]
This record from Alexandria via LeMat-Bulk describes Ce4Cu3S4O4 after structural relaxation. The functional is PBE.

```
15
Lattice="-8.3170 -3.1284 -2.1774 -2.4549 -7.9225 -3.8613 5.0739 3.9101 6.5321" Properties=species:S:1:pos:R:3 pbc="T T T"
O -2.7068 -2.7769 -1.5174
O -8.0652 -8.2741 -4.5213
O -4.3145 -2.3719 0.6676
O -1.3835 -4.7689 -0.1743
S -4.6419 -5.4115 -0.7534
S 0.7449 0.1184 2.2564
S -4.8170 -7.6510 -3.9463
S -7.7560 -5.2475 -3.1021
Cu 0.0000 0.0000 0.0000
Cu 1.3095 -2.0062 1.3354
Cu -1.6216 0.3908 2.1773
Ce -2.0143 -2.7094 0.7015
Ce -7.4025 -8.2464 -2.2928
Ce -5.0026 -2.4109 -1.5530
Ce -2.0506 -4.8250 -2.4010
```

Values from the calculation:
Calculated total energy   -0.25630 Ha/atom
Raw formation energy   -2.150 eV per atom



Copy entry 2 word for word.
This record from Alexandria via LeMat-Bulk describes PmIn3Ni3 after structural relaxation. The functional is PBE.

```
14
Lattice="6.9168 0.0000 0.0000 0.0000 6.9168 0.0000 0.0000 0.0000 6.9168" Properties=species:S:1:pos:R:3 pbc="T T T"
Ni 0.0000 1.7292 3.4584
Ni 0.0000 5.1876 3.4584
Ni 3.4584 0.0000 5.1876
Ni 5.1876 3.4584 0.0000
Ni 3.4584 0.0000 1.7292
Ni 1.7292 3.4584 0.0000
In 1.7292 0.0000 3.4584
In 0.0000 3.4584 1.7292
In 3.4584 5.1876 0.0000
In 5.1876 0.0000 3.4584
In 0.0000 3.4584 5.1876
In 3.4584 1.7292 0.0000
Pm 3.4584 3.4584 3.4584
Pm 0.0000 0.0000 0.0000
```

Values from the calculation:
Calculated total energy   -0.14988 Ha/atom
DFT formation energy   24 kJ per mole of atoms



Among the records above, which one has the lowest calculated total energy?
Cr2CuOs2



Which formula does entry 3 have?
Ce4Cu3S4O4